Entry from Alexandria via LeMat-Bulk: AcGaRh after structural relaxation (GGA-PBE).

abc: 5.5851 4.5482 11.4968
angles: 90.00 90.00 90.00
Space group Pnma (No. 62)
One atom of each set of equivalent atoms:
1 Ac 0.1336 0.2500 0.1307 (multiplicity 4)
2 Ga 0.1300 0.7500 0.3543 (multiplicity 4)
3 Rh 0.1304 0.2500 0.4505 (multiplicity 4)

Output
Calculated density = 9.09 Mg/m³
Crystal system = orthorhombic



Entry from Alexandria via LeMat-Bulk: KLiP after structural relaxation (GGA-PBE).

abc: 4.6676 4.6779 6.8061
angles: 91.32 99.50 105.34
Space group P-1 (No. 2)
One atom of each set of equivalent atoms:
1 K 0.2043 0.2513 0.3530 (multiplicity 2)
2 Li 0.2199 0.8053 0.0154 (multiplicity 2)
3 P 0.3163 0.3463 0.8752 (multiplicity 2)

Output
Calculated density = 1.81 Mg/m³
Crystal system = triclinic



For the records above, the corresponding E_form values read -738 -428 meV per atom.
For the records above, the corresponding relative energy among the computed polymorphs values read 0 0 meV per atom.